Below is a relaxed structure of LiMn2F7, with properties calculated at the PBE with a Hubbard U level.

```
LiMn2F7
1.0
0.2067 1.6805 -5.4977
-1.6306 6.2277 1.1821
8.3247 -1.0718 2.1030
Li Mn F
2 4 14
Direct
0.1425 0.0328 0.7833 Li
0.8575 0.9672 0.2167 Li
0.2711 0.2936 0.2032 Mn
0.2246 0.4741 0.6742 Mn
0.7754 0.5259 0.3258 Mn
0.7289 0.7064 0.7968 Mn
0.5859 0.4372 0.7537 F
0.9196 0.4232 0.1413 F
0.4141 0.5628 0.2463 F
0.6781 0.8055 0.0096 F
0.8513 0.8028 0.3619 F
0.3177 0.7561 0.7019 F
0.0804 0.5768 0.8587 F
0.1587 0.0359 0.1933 F
0.3219 0.1945 0.9904 F
0.1990 0.4135 0.4297 F
0.6823 0.2439 0.2981 F
0.1487 0.1972 0.6381 F
0.8010 0.5865 0.5703 F
0.8413 0.9641 0.8067 F
```

Calculated values
- DOS(E_F): 0.00 states/eV per cell
- Electronic total energy: -110.03 eV for the cell shown
- Volume: 301 Å³ per cell
- Total magnetic moment: 8.00 μB per formula unit